# 1
VASP calculation (GGA-PBE) on KMn2Re after structural relaxation.

Values from the calculation:
**Crystal system**: tetragonal
**Space group**: No. 141
**Excess energy over the best structure of this formula in the dataset**: 698 meV/atom
**ΔH_f (0 K)**: 1.368 eV per atom
**DFT total energy**: -0.243 hartree per atom

abc: 8.6384 8.6384 8.6384
angles: 143.72 143.72 52.24
Last column: nearest neighbours and their distance in Å.
Atoms (fractional coordinates):
K 0.3750 0.6250 0.7500  8 Mn 3.58, 4 Re 3.80
K 0.6250 0.3750 0.2500  8 Mn 3.58, 4 Re 3.80
Mn 0.0000 0.0000 0.0000  2 Re 2.36
Mn 0.0000 0.0000 0.5000  2 Re 2.36
Mn 0.0000 0.5000 0.0000  2 Re 2.36
Mn 0.5000 0.0000 0.5000  2 Re 2.36
Re 0.1250 0.8750 0.2500  4 Mn 2.36
Re 0.8750 0.1250 0.7500  4 Mn 2.36



# 2
VASP calculation (GGA-PBE) on SnN after structural relaxation.

Values from the calculation:
**Uncorrected formation energy**: 1.44 eV/f.u.
**Crystal system**: cubic
**Space group**: No. 217
**DFT total energy**: -0.200 hartree per atom

abc: 6.1644 6.1644 6.1644
angles: 109.47 109.47 109.47
Last column: nearest neighbours and their distance in Å.
Atoms (fractional coordinates):
Sn 0.0000 0.0000 0.3278  4 N 2.16-2.31
Sn 0.0000 0.3278 0.0000  4 N 2.16-2.31
Sn 0.3278 0.0000 0.0000  4 N 2.16-2.31
Sn 0.6722 0.6722 0.6722  4 N 2.16-2.31
N 0.0000 0.0000 0.6788  4 Sn 2.16-2.31
N 0.0000 0.6788 0.0000  4 Sn 2.16-2.31
N 0.3212 0.3212 0.3212  4 Sn 2.16-2.31
N 0.6788 0.0000 0.0000  4 Sn 2.16-2.31